## CoTePt2C (PBE)

Data for CoTePt2C after structural relaxation.

Output
The calculation puts the density of states at the Fermi level at 6.1 states/eV per cell. As for the uncorrected formation energy: 2263 meV per atom. The value obtained for the volume is 23.1 A^3/atom. Its crystal system is tetragonal.

Unit cell a=4.9690 b=4.9690 c=4.6742 alpha=90.00 beta=90.00 gamma=90.00
With the nearest neighbours (Å) after each atom.
Sites, in units of the cell vectors:
Co 0.0000 0.0000 0.0000  2 Te 2.34
Te 0.0000 0.0000 0.5000  2 Co 2.34, 4 Pt 2.48
Pt 0.0000 0.5000 0.5000  2 Te 2.48
Pt 0.5000 0.0000 0.5000  2 Te 2.48
C 0.5000 0.5000 0.0000  8 Pt 3.41, 4 Co 3.51